No. 1
NdAgO3 after structural relaxation, computed with PBE.

Computed properties:
Uncorrected formation energy   -1503 meV/atom
Calculated density   6.83 g/cm³
Size of the total moment   0.01 Bohr magnetons per cell

a b c (Å): 6.3519 6.3519 6.0642
angles (deg): 90.00 90.00 143.37
Sites, in units of the cell vectors:
Nd 0.1931 0.8069 0.7500
Nd 0.8069 0.1931 0.2500
Ag 0.4688 0.5312 0.7500
Ag 0.5312 0.4688 0.2500
O 0.0069 0.9931 0.2500
O 0.3413 0.6587 0.0216
O 0.3413 0.6587 0.4784
O 0.6587 0.3413 0.5216
O 0.6587 0.3413 0.9784
O 0.9931 0.0069 0.7500

---

No. 2
ZnP2NO after structural relaxation, computed with PBE.

Computed properties:
Uncorrected formation energy   1613 meV/atom
Calculated density   3.40 g/cm³
Energy relative to the lowest polymorph listed for this composition   669 meV per atom
Size of the total moment   0.00 Bohr magnetons per cell

a b c (Å): 4.6331 4.6331 3.5758
angles (deg): 90.00 90.00 90.00
Sites, in units of the cell vectors:
Zn 0.0000 0.0000 0.0000
P 0.0000 0.5000 0.0000
P 0.5000 0.0000 0.0000
N 0.5000 0.5000 0.5000
O 0.0000 0.0000 0.5000

---

No. 3
Ho3Tl4 after structural relaxation, computed with PBE.

Computed properties:
ΔH_f (0 K)   -0.2163 eV/atom
Calculated density   11.04 g/cm³
Energy relative to the lowest polymorph listed for this composition   79 meV per atom
Size of the total moment   0.00 Bohr magnetons per cell

a b c (Å): 8.0041 8.0041 8.0041
angles (deg): 109.47 109.47 109.47
Sites, in units of the cell vectors:
Ho 0.1250 0.8750 0.2500
Ho 0.2500 0.1250 0.8750
Ho 0.3750 0.6250 0.7500
Ho 0.6250 0.7500 0.3750
Ho 0.7500 0.3750 0.6250
Ho 0.8750 0.2500 0.1250
Tl 0.0000 0.1636 0.5000
Tl 0.0000 0.6636 0.5000
Tl 0.1636 0.5000 0.0000
Tl 0.3364 0.3364 0.3364
Tl 0.5000 0.0000 0.1636
Tl 0.5000 0.0000 0.6636
Tl 0.6636 0.5000 0.0000
Tl 0.8364 0.8364 0.8364

---

No. 4
Cu2Se3 after structural relaxation, computed with PBE.

Computed properties:
Uncorrected formation energy   -2 meV/atom
Calculated density   6.64 g/cm³
Size of the total moment   0.00 Bohr magnetons per cell

a b c (Å): 7.9332 7.9332 7.9332
angles (deg): 27.04 27.04 27.04
Sites, in units of the cell vectors:
Cu 0.1006 0.1006 0.1006
Cu 0.8994 0.8994 0.8994
Se 0.2858 0.2858 0.2858
Se 0.5000 0.5000 0.5000
Se 0.7142 0.7142 0.7142

---

No. 5
RbNa2CdH after structural relaxation, computed with PBE.

Computed properties:
Calculated density   2.74 g/cm³
Energy relative to the lowest polymorph listed for this composition   0 meV per atom
Size of the total moment   0.10 Bohr magnetons per cell

a b c (Å): 5.0983 5.0983 5.7134
angles (deg): 90.00 90.00 90.00
Sites, in units of the cell vectors:
Rb 0.0000 0.0000 0.0000
Na 0.0000 0.5000 0.5000
Na 0.5000 0.0000 0.5000
Cd 0.5000 0.5000 0.0000
H 0.0000 0.0000 0.5000

---

No. 6
LiTbU2N4 after structural relaxation, computed with PBE.

Computed properties:
Uncorrected formation energy   -1237 meV/atom
Calculated density   10.04 g/cm³
Size of the total moment   3.23 Bohr magnetons per cell

a b c (Å): 5.8829 3.4820 5.9463
angles (deg): 90.00 108.62 90.00
Sites, in units of the cell vectors:
Li 0.0000 0.0000 0.0000
Tb 0.0000 0.5000 0.5000
U 0.5000 0.0000 0.5000
U 0.5000 0.5000 0.0000
N 0.2687 0.0000 0.7530
N 0.2947 0.5000 0.2774
N 0.7053 0.5000 0.7226
N 0.7313 0.0000 0.2470

---

| no. | DOS(E_F) (states/eV/cell) | DFT total energy (eV/atom) | calculated volume (Å³/cell) |
| --- | --- | --- | --- |
| 1 | 6.9 | -6.00 | 146.0 |
| 2 | 3.4 | -3.46 | 76.8 |
| 3 | 11.2 | -3.53 | 394.7 |
| 4 | 3.9 | -3.73 | 91.0 |
| 5 | 3.8 | -1.53 | 148.5 |
| 6 | 8.2 | -9.04 | 115.4 |